No. 1
Er5Tl2Ge: relaxed, PBE.

Energy of formation from the pure elements: -0.427 eV/atom
Magnetic moment: 0.0 μB/cell
Crystal system: orthorhombic

abc: 7.039 12.535 4.877
angles: 90.00 90.00 90.00
Space group Pbam (No. 55)
Unique sites:
Er  0.000  0.000  0.000 x2
Er  0.142  0.280  0.000 x4
Er  0.170  0.588  0.500 x4
Tl  0.098  0.840  0.500 x4
Ge  0.000  0.500  0.000 x2



No. 2
ErTlGe: relaxed, PBE.

Energy of formation from the pure elements: -0.345 eV/atom
Magnetic moment: 0.0 μB/cell
Crystal system: orthorhombic

abc: 4.018 11.858 6.236
angles: 90.00 90.00 90.00
Space group Cmcm (No. 63)
Unique sites:
Er  0.000  0.123  0.250 x4
Tl  0.000  0.159  0.750 x4
Ge  0.000  0.500  0.000 x4



No. 3
Er6Tl2Ge: relaxed, PBE.

Energy of formation from the pure elements: 0.041 eV/atom
Magnetic moment: 0.0 μB/cell
Crystal system: tetragonal

abc: 7.390 7.390 11.012
angles: 90.00 90.00 90.00
Space group P4_2/mnm (No. 136)
Unique sites:
Er  0.213  0.213  0.160 x8
Er  0.238  0.238  0.500 x4
Tl  0.000  0.000  0.347 x4
Ge  0.000  0.000  0.000 x2



No. 4
Er7Tl2Ge2: relaxed, PBE.

Energy of formation from the pure elements: -0.274 eV/atom
Magnetic moment: 0.7 μB/cell
Crystal system: orthorhombic

abc: 8.297 10.807 7.069
angles: 90.00 90.00 90.00
Space group Cmmm (No. 65)
Unique sites:
Er  0.000  0.000  0.000 x2
Er  0.000  0.500  0.250 x4
Er  0.250  0.250  0.265 x8
Tl  0.182  0.000  0.500 x4
Ge  0.000  0.279  0.000 x4



No. 5
ErTlGe2: relaxed, PBE.

Energy of formation from the pure elements: -0.270 eV/atom
Magnetic moment: 0.0 μB/cell
Crystal system: tetragonal

abc: 4.628 4.628 4.143
angles: 90.00 90.00 90.00
Space group P4/mmm (No. 123)
Unique sites:
Er  0.000  0.000  0.000 x1
Tl  0.500  0.500  0.000 x1
Ge  0.000  0.500  0.500 x2



No. 6
Er8Tl2Ge: relaxed, PBE.

Energy of formation from the pure elements: -0.241 eV/atom
Magnetic moment: 0.0 μB/cell
Crystal system: monoclinic

abc: 18.977 5.032 6.679
angles: 90.00 103.29 90.00
Space group C2/m (No. 12)
Unique sites:
Er  0.021  0.000  0.271 x4
Er  0.089  0.500  0.955 x4
Er  0.151  0.500  0.487 x4
Er  0.211  0.000  0.818 x4
Tl  0.184  0.000  0.257 x4
Ge  0.000  0.500  0.500 x2